Li3FeOF3 | Alexandria | GGA+U | optimized geometry; DOS at the Fermi energy = 0.00 states/eV per atom; space-group type = C2/m; energy = -83.39 eV/cell; magnetic moment = 8.0 Bohr magnetons per cell
1.0
1.5201 4.9186 -0.0106
-1.5201 4.9186 -0.0106
0.0000 1.7968 10.1212
Li F O Fe
6 6 2 2
Direct
0.2484 0.2484 0.8841 Li
0.9990 0.9990 0.7506 Li
0.5000 0.5000 0.5000 Li
0.5000 0.5000 0.0000 Li
0.0010 0.0010 0.2494 Li
0.7516 0.7516 0.1159 Li
0.3680 0.3680 0.7017 F
0.8733 0.8733 0.9381 F
0.6320 0.6320 0.2983 F
0.1267 0.1267 0.0619 F
0.6203 0.6203 0.8246 F
0.3797 0.3797 0.1754 F
0.8787 0.8787 0.4298 O
0.1213 0.1213 0.5702 O
0.2595 0.2595 0.3831 Fe
0.7405 0.7405 0.6169 Fe